InPIr2: relaxed, PBE-GGA.

Results
offset from the most stable computed form	43	meV per atom
final energy	-26.2	eV/cell
E_form	-0.087	eV per atom
DOS(E_F)	0.43	states/eV per atom
M_tot	0.000	μB per cell

abc: 4.125 4.117 4.171
angles: 90.04 90.00 90.00
Fractional coordinates of all 4 atoms:
In (0.500, 0.875, 0.718)
Ir (0.000, 0.875, 0.179)
Ir (0.500, 0.375, 0.180)
P (0.000, 0.375, 0.424)

---

InPIr2: relaxed, PBE-GGA.

Results
offset from the most stable computed form	288	meV per atom
final energy	-25.2	eV/cell
E_form	0.159	eV per atom
DOS(E_F)	0.90	states/eV per atom
M_tot	0.000	μB per cell

abc: 8.384 8.384 8.384
angles: 21.22 21.22 21.22
Fractional coordinates of all 4 atoms:
In (0.749, 0.749, 0.749)
Ir (0.997, 0.997, 0.997)
Ir (0.241, 0.241, 0.241)
P (0.514, 0.514, 0.514)

---

InP2Ir: relaxed, PBE-GGA.

Results
final energy	-22.5	eV/cell
E_form	-0.029	eV per atom
DOS(E_F)	0.19	states/eV per atom
M_tot	0.000	μB per cell

abc: 3.426 3.863 5.927
angles: 71.19 90.00 90.00
Fractional coordinates of all 4 atoms:
P (0.500, 0.264, 0.065)
P (0.000, 0.880, 0.080)
Ir (0.500, 0.866, 0.800)
In (0.000, 0.490, 0.554)

---

In2PIr: relaxed, PBE-GGA.

Results
final energy	-18.3	eV/cell
E_form	0.353	eV per atom
DOS(E_F)	0.32	states/eV per atom
M_tot	0.000	μB per cell

abc: 5.170 5.170 5.170
angles: 132.34 132.34 69.69
Fractional coordinates of all 4 atoms:
P (0.750, 0.250, 0.500)
In (0.250, 0.750, 0.500)
In (0.000, 0.000, 0.000)
Ir (0.500, 0.500, 0.000)

---

Which value of final energy does entry 2 give?
-25.2 eV/cell